{
  "formula": "PaGa2Pd2",
  "functional": "GGA-PBE",
  "state": "relaxed",
  "cell": [[3.962, 0.000, 0.000], [0.000, 3.962, 0.000], [0.000, 0.000, 11.954]],
  "species": ["Pa", "Pa", "Ga", "Ga", "Ga", "Ga", "Pd", "Pd", "Pd", "Pd"],
  "fractional_positions": [[0.000, 0.000, 0.000], [0.500, 0.500, 0.500], [0.000, 0.500, 0.250], [0.000, 0.500, 0.750], [0.500, 0.000, 0.250], [0.500, 0.000, 0.750], [0.000, 0.000, 0.391], [0.000, 0.000, 0.609], [0.500, 0.500, 0.109], [0.500, 0.500, 0.891]],
  "energy_ev_per_cell": -57.1,
  "relative_energy_mev_per_atom": 60.1,
  "e_form_mev_per_atom": -523
}